# 1
Here is an optimized crystal structure of MgZrBi2 from OQMD. Energies are from PBE.

a = 5.312 Å, b = 5.312 Å, c = 5.312 Å
α = 60.00°, β = 60.00°, γ = 60.00°
Fractional coordinates of all 4 atoms:
Bi: 0.250 0.250 0.250
Bi: 0.500 0.500 0.500
Mg: 0.750 0.750 0.750
Zr: 0.000 0.000 0.000

Values from the calculation:
**Crystal system**: cubic
**Energy**: -4.3152 eV/atom

***

# 2
Here is an optimized crystal structure of Bi2Mo from OQMD. Energies are from PBE.

a = 6.348 Å, b = 6.348 Å, c = 6.348 Å
α = 60.00°, β = 60.00°, γ = 60.00°
Fractional coordinates of all 6 atoms:
Bi: 0.625 0.625 0.125
Bi: 0.625 0.125 0.625
Bi: 0.125 0.625 0.625
Bi: 0.625 0.625 0.625
Mo: 0.000 0.000 0.000
Mo: 0.250 0.250 0.250

Values from the calculation:
**Crystal system**: cubic
**E above lowest polymorph**: 1.164 eV per atom

***

# 3
Here is an optimized crystal structure of Bi2Mo from OQMD. Energies are from PBE.

a = 4.234 Å, b = 5.701 Å, c = 7.040 Å
α = 100.09°, β = 107.50°, γ = 90.00°
Fractional coordinates of all 6 atoms:
Bi: 0.568 0.804 0.136
Bi: 0.159 0.352 0.318
Bi: 0.841 0.648 0.682
Bi: 0.432 0.196 0.864
Mo: 0.226 0.878 0.452
Mo: 0.774 0.122 0.548

Values from the calculation:
**Crystal system**: monoclinic
**E above lowest polymorph**: 0.000 eV per atom

***

# 4
Here is an optimized crystal structure of BiMo from OQMD. Energies are from PBE.

a = 5.565 Å, b = 3.795 Å, c = 4.433 Å
α = 90.00°, β = 90.00°, γ = 109.94°
Fractional coordinates of all 4 atoms:
Bi: 0.700 0.850 0.250
Bi: 0.300 0.150 0.750
Mo: 0.129 0.564 0.250
Mo: 0.871 0.436 0.750

Values from the calculation:
**Crystal system**: orthorhombic
**E above lowest polymorph**: 0.173 eV per atom